# 1
! Ac2Cd3Ga5 PBE relaxed; values from VASP
! Energy of formation from the pure elements: -0.396 eV per atom
! Uncorrected energy: -0.1105 hartree per atom
! ρ: 7.9 g cm⁻³
&SYSTEM
  ibrav = 0, nat = 10, ntyp = 3
/
ATOMIC_SPECIES
Ac 227.00 Ac.upf
Cd 112.41 Cd.upf
Ga 69.72 Ga.upf
CELL_PARAMETERS angstrom
-2.538 0.628 -3.833
0.178 -4.555 -0.864
-9.300 -1.486 5.914
ATOMIC_POSITIONS angstrom
Ac -3.445 -0.034 -0.533
Ac -7.035 -3.416 4.098
Cd -7.249 -0.641 1.886
Cd -3.231 -2.808 1.679
Cd -4.650 -0.743 2.957
Ga -1.180 -1.964 -2.349
Ga 0.000 0.000 0.000
Ga -9.467 -0.996 3.296
Ga -1.013 -2.454 0.269
Ga -5.830 -2.706 0.608

***

# 2
! ThFeCl PBE relaxed; values from VASP
! Energy relative to the elements, uncorrected: -780 meV/atom
! Uncorrected energy: -0.2458 hartree per atom
! ρ: 8.1 g cm⁻³
&SYSTEM
  ibrav = 0, nat = 6, ntyp = 3
/
ATOMIC_SPECIES
Fe 55.84 Fe.upf
Th 232.04 Th.upf
Cl 35.45 Cl.upf
CELL_PARAMETERS angstrom
4.140 1.161 -0.741
3.067 4.818 -1.026
-2.473 -2.054 8.660
ATOMIC_POSITIONS angstrom
Fe 2.347 1.686 1.657
Fe 4.289 2.161 0.404
Th 4.033 4.223 2.199
Th 5.669 4.443 -1.164
Cl 2.706 1.984 4.129
Cl 1.456 -0.190 6.592

***

# 3
! ZnW2Se PBE relaxed; values from VASP
! Energy relative to the elements, uncorrected: 416 meV/atom
! E above lowest polymorph: 0.49 eV/f.u.
! Uncorrected energy: -0.2664 hartree per atom
! ρ: 13.0 g cm⁻³
&SYSTEM
  ibrav = 0, nat = 4, ntyp = 3
/
ATOMIC_SPECIES
Se 78.96 Se.upf
W 183.84 W.upf
Zn 65.41 Zn.upf
CELL_PARAMETERS angstrom
4.584 0.000 0.000
0.000 2.954 0.004
0.000 1.452 4.850
ATOMIC_POSITIONS angstrom
Se 2.292 3.857 3.724
W 0.000 3.851 4.853
W 2.292 0.925 1.018
Zn 0.000 2.381 2.541

***

# 4
! PuTl2Pd2O6 PBE relaxed; values from VASP
! Energy relative to the elements, uncorrected: -1177 meV/atom
! Uncorrected energy: -0.2410 hartree per atom
! ρ: 8.4 g cm⁻³
&SYSTEM
  ibrav = 0, nat = 11, ntyp = 4
/
ATOMIC_SPECIES
Pu 244.00 Pu.upf
Tl 204.38 Tl.upf
Pd 106.42 Pd.upf
O 16.00 O.upf
CELL_PARAMETERS angstrom
5.565 0.391 -0.159
-2.411 5.031 -0.159
-1.393 -2.394 6.733
ATOMIC_POSITIONS angstrom
Pu -0.696 -1.197 3.366
Tl 4.127 1.227 -0.159
Tl -0.973 4.194 -0.159
Pd -0.446 2.285 3.207
Pd 2.207 0.742 3.207
O 1.391 2.390 4.163
O -1.715 0.046 4.607
O 0.371 0.637 2.251
O 0.888 -1.468 4.607
O 3.477 2.982 1.807
O 0.874 4.496 1.807

***

# 5
! Pm12GePb6 PBE relaxed; values from VASP
! Energy of formation from the pure elements: -0.301 eV per atom
! Uncorrected energy: -0.1733 hartree per atom
! ρ: 7.4 g cm⁻³
&SYSTEM
  ibrav = 0, nat = 19, ntyp = 3
/
ATOMIC_SPECIES
Pm 145.00 Pm.upf
Ge 72.64 Ge.upf
Pb 207.20 Pb.upf
CELL_PARAMETERS angstrom
8.969 -0.046 -0.055
-1.405 8.858 -0.055
-1.405 -1.637 8.706
ATOMIC_POSITIONS angstrom
Pm 5.798 4.347 3.774
Pm 2.023 6.176 4.951
Pm 3.418 2.571 6.962
Pm 0.360 2.828 4.821
Pm 4.135 0.998 3.644
Pm 2.740 4.603 1.633
Pm -1.239 8.073 2.740
Pm -2.010 4.479 8.106
Pm 4.732 8.209 0.162
Pm 7.397 -0.899 5.855
Pm 8.168 2.696 0.489
Pm 1.426 -1.034 8.433
Ge 0.000 0.000 0.000
Pb 4.466 7.139 3.135
Pb 5.048 2.487 1.011
Pb -0.222 5.073 2.627
Pb 1.693 0.035 5.460
Pb 1.111 4.688 7.584
Pb 6.380 2.102 5.968

***

# 6
! TbY3Ho2S6 PBE relaxed; values from VASP
! Energy relative to the elements, uncorrected: -1995 meV/atom
! Uncorrected energy: -0.2508 hartree per atom
! ρ: 6.2 g cm⁻³
&SYSTEM
  ibrav = 0, nat = 12, ntyp = 4
/
ATOMIC_SPECIES
Tb 158.93 Tb.upf
Y 88.91 Y.upf
Ho 164.93 Ho.upf
S 32.06 S.upf
CELL_PARAMETERS angstrom
-0.699 1.884 6.469
1.510 -6.423 -1.535
5.951 2.916 -1.383
ATOMIC_POSITIONS angstrom
Tb 0.000 0.000 0.000
Y 4.120 -3.591 -0.903
Y 2.642 1.968 4.454
Y 3.381 -0.812 1.775
Ho 0.773 -3.652 1.135
Ho 0.038 -0.887 3.799
S 4.709 0.186 4.002
S 2.079 -2.667 3.341
S 2.053 -1.809 -0.451
S 5.451 -2.605 1.313
S 4.683 1.044 0.209
S 1.311 0.982 2.238

***

# 7
! BaAcPb PBE relaxed; values from VASP
! Energy of formation from the pure elements: -0.298 eV per atom
! E above lowest polymorph: 0.46 eV/f.u.
! Uncorrected energy: -0.1302 hartree per atom
! ρ: 6.8 g cm⁻³
&SYSTEM
  ibrav = 0, nat = 3, ntyp = 3
/
ATOMIC_SPECIES
Pb 207.20 Pb.upf
Ac 227.00 Ac.upf
Ba 137.33 Ba.upf
CELL_PARAMETERS angstrom
-5.236 -1.773 -1.840
-3.814 -2.243 3.790
-4.772 3.008 1.456
ATOMIC_POSITIONS angstrom
Pb -3.455 -0.252 0.852
Ac 0.000 0.000 0.000
Ba -6.911 -0.504 1.703

***

# 8
! BaCuCl2 PBE relaxed; values from VASP
! Energy relative to the elements, uncorrected: -1055 meV/atom
! E above lowest polymorph: 0.55 eV/f.u.
! Uncorrected energy: -0.1280 hartree per atom
! ρ: 4.3 g cm⁻³
&SYSTEM
  ibrav = 0, nat = 4, ntyp = 3
/
ATOMIC_SPECIES
Ba 137.33 Ba.upf
Cu 63.55 Cu.upf
Cl 35.45 Cl.upf
CELL_PARAMETERS angstrom
6.246 0.005 -0.036
3.168 5.383 0.036
-4.692 -2.720 3.098
ATOMIC_POSITIONS angstrom
Ba 1.588 2.676 1.567
Cu 4.706 2.693 0.000
Cl 0.001 0.001 0.000
Cl 3.134 -0.009 1.531

***

# 9
! SmTmZnCr PBE relaxed; values from VASP
! Energy of formation from the pure elements: 0.025 eV per atom
! Uncorrected energy: -0.1836 hartree per atom
! ρ: 7.9 g cm⁻³
&SYSTEM
  ibrav = 0, nat = 4, ntyp = 4
/
ATOMIC_SPECIES
Cr 52.00 Cr.upf
Zn 65.41 Zn.upf
Tm 168.93 Tm.upf
Sm 150.36 Sm.upf
CELL_PARAMETERS angstrom
-1.492 -4.640 -1.375
2.538 -2.516 -3.587
2.803 -4.031 1.237
ATOMIC_POSITIONS angstrom
Cr 0.963 -2.797 -0.931
Zn 2.888 -8.390 -2.794
Tm 1.925 -5.593 -1.863
Sm 0.000 0.000 0.000

***

# 10
! Zr3IrPt PBE relaxed; values from VASP
! Energy of formation from the pure elements: 0.198 eV per atom
! E above lowest polymorph: 0.00 eV/f.u.
! Uncorrected energy: -0.2907 hartree per atom
! ρ: 8.8 g cm⁻³
&SYSTEM
  ibrav = 0, nat = 5, ntyp = 3
/
ATOMIC_SPECIES
Ir 192.22 Ir.upf
Zr 91.22 Zr.upf
Pt 195.08 Pt.upf
CELL_PARAMETERS angstrom
4.992 0.000 0.000
0.000 4.992 0.000
0.000 0.000 4.992
ATOMIC_POSITIONS angstrom
Ir 0.000 0.000 0.000
Zr 0.000 2.496 0.000
Zr 0.000 0.000 2.496
Zr 2.496 0.000 0.000
Pt 2.496 2.496 2.496

***

# 11
! Ca2TlH6 PBE relaxed; values from VASP
! Uncorrected energy: -0.1040 hartree per atom
! ρ: 4.5 g cm⁻³
&SYSTEM
  ibrav = 0, nat = 9, ntyp = 3
/
ATOMIC_SPECIES
Ca 40.08 Ca.upf
Tl 204.38 Tl.upf
H 1.01 H.upf
CELL_PARAMETERS angstrom
4.609 0.000 2.661
1.536 4.345 2.661
0.000 0.000 5.322
ATOMIC_POSITIONS angstrom
Ca 4.609 3.259 7.983
Ca 1.536 1.086 2.661
Tl 0.000 0.000 0.000
H 2.402 3.121 6.483
H 4.413 3.121 5.322
H 3.743 1.225 6.483
H 3.743 1.225 4.161
H 1.732 1.225 5.322
H 2.402 3.121 4.161

***

# 12
! Ac2Zn4InIr3 PBE relaxed; values from VASP
! Energy of formation from the pure elements: -0.399 eV per atom
! Uncorrected energy: -0.1713 hartree per atom
! ρ: 11.3 g cm⁻³
&SYSTEM
  ibrav = 0, nat = 10, ntyp = 4
/
ATOMIC_SPECIES
Ac 227.00 Ac.upf
Zn 65.41 Zn.upf
In 114.82 In.upf
Ir 192.22 Ir.upf
CELL_PARAMETERS angstrom
-3.829 -0.946 1.472
0.367 -3.897 -1.550
4.739 -3.550 10.050
ATOMIC_POSITIONS angstrom
Ac -0.807 -1.302 3.084
Ac 3.815 -4.669 6.927
Zn -1.731 -2.421 -0.039
Zn 0.000 0.000 0.000
Zn 1.136 -2.758 7.205
Zn 1.872 -3.213 2.805
In 0.638 -4.196 4.986
Ir 2.370 -1.775 5.025
Ir 2.185 -3.544 9.428
Ir 0.823 -2.428 0.582